Record 1
The following is a DFT calculation (PBE) of ZrInAg after structural relaxation.

Summary:
Symmetry   P-1, No. 2
Formation energy   -133 meV/atom
V   21.35 Å³/atom

a b c (Å): 3.1042 5.5741 7.6325
angles (deg): 104.12 89.86 90.23
With the nearest neighbours (Å) after each atom.
Sites, in units of the cell vectors:
Zr (0.1890, 0.0552, 0.6170)  3 Zr 3.10-3.27, 4 Ag 3.11-3.14, 6 In 3.15-3.23
Zr (0.1926, 0.8532, 0.9847)  3 Zr 3.10-3.27, 4 Ag 3.11-3.13, 6 In 3.15-3.23
Ag (0.6960, 0.2008, 0.3040)  2 Ag 2.74-2.84, 2 In 2.85-2.88
Ag (0.6845, 0.7075, 0.2977)  2 Ag 2.74-2.84, 2 In 2.85-2.88
In (0.6911, 0.5682, 0.6368)  2 Ag 2.85-2.88, 3 In 3.07-3.10, 4 Zr 3.15-3.17
In (0.6914, 0.3401, 0.9649)  2 Ag 2.85-2.88, 3 In 3.07-3.10, 4 Zr 3.15-3.17



Record 2
The following is a DFT calculation (PBE) of Sr12Pd5Au3 after structural relaxation.

Summary:
Symmetry   Ia-3d, No. 230
Formation energy   -354 meV/atom
V   38.29 Å³/atom

a b c (Å): 15.8462 15.8462 15.8462
angles (deg): 109.47 109.47 109.47
With the nearest neighbours (Å) after each atom.
Sites, in units of the cell vectors:
Au (0.7500, 0.3750, 0.1250)  8 Sr 3.44-3.51
Au (0.8750, 0.7500, 0.1250)  8 Sr 3.44-3.51
Au (0.3750, 0.7500, 0.6250)  8 Sr 3.44-3.51
Au (0.2500, 0.1250, 0.3750)  8 Sr 3.44-3.51
Au (0.8750, 0.1250, 0.2500)  8 Sr 3.44-3.51
Au (0.3750, 0.6250, 0.2500)  8 Sr 3.44-3.51
Au (0.6250, 0.3750, 0.7500)  8 Sr 3.44-3.51
Au (0.1250, 0.8750, 0.7500)  8 Sr 3.44-3.51
Au (0.7500, 0.8750, 0.6250)  8 Sr 3.44-3.51
Au (0.6250, 0.2500, 0.3750)  8 Sr 3.44-3.51
Au (0.1250, 0.2500, 0.8750)  8 Sr 3.44-3.51
Au (0.2500, 0.6250, 0.8750)  8 Sr 3.44-3.51
Pd (0.1250, 0.3750, 0.2500)  4 Sr 2.85
Pd (0.0000, 0.5000, 0.0000)  6 Sr 3.03
Pd (0.0000, 0.0000, 0.0000)  6 Sr 3.03
Pd (0.3750, 0.2500, 0.1250)  4 Sr 2.85
Pd (0.5000, 0.0000, 0.5000)  6 Sr 3.03
Pd (0.5000, 0.5000, 0.0000)  6 Sr 3.03
Pd (0.1250, 0.7500, 0.3750)  4 Sr 2.85
Pd (0.7500, 0.1250, 0.8750)  4 Sr 2.85
Pd (0.7500, 0.6250, 0.3750)  4 Sr 2.85
Pd (0.3750, 0.1250, 0.7500)  4 Sr 2.85
Pd (0.6250, 0.8750, 0.2500)  4 Sr 2.85
Pd (0.5000, 0.5000, 0.5000)  6 Sr 3.03
Pd (0.5000, 0.0000, 0.0000)  6 Sr 3.03
Pd (0.0000, 0.0000, 0.5000)  6 Sr 3.03
Pd (0.2500, 0.3750, 0.6250)  4 Sr 2.85
Pd (0.2500, 0.8750, 0.1250)  4 Sr 2.85
Pd (0.0000, 0.5000, 0.5000)  6 Sr 3.03
Pd (0.8750, 0.2500, 0.6250)  4 Sr 2.85
Pd (0.6250, 0.7500, 0.8750)  4 Sr 2.85
Pd (0.8750, 0.6250, 0.7500)  4 Sr 2.85
Sr (0.7155, 0.1251, 0.0401)  2 Pd 2.85-3.03
Sr (0.3246, 0.5401, 0.4150)  2 Pd 2.85-3.03
Sr (0.9599, 0.3749, 0.2845)  2 Pd 2.85-3.03
Sr (0.5401, 0.2155, 0.1251)  2 Pd 2.85-3.03
Sr (0.5904, 0.7155, 0.6754)  2 Pd 2.85-3.03
Sr (0.9599, 0.5850, 0.1754)  2 Pd 2.85-3.03
Sr (0.3246, 0.7845, 0.4096)  2 Pd 2.85-3.03
Sr (0.0850, 0.9096, 0.1251)  2 Pd 2.85-3.03
Sr (0.5850, 0.9599, 0.6754)  2 Pd 2.85-3.03
Sr (0.7155, 0.5904, 0.1754)  2 Pd 2.85-3.03
Sr (0.7845, 0.4599, 0.3749)  2 Pd 2.85-3.03
Sr (0.8246, 0.9150, 0.0401)  2 Pd 2.85-3.03
Sr (0.1251, 0.7155, 0.5401)  2 Pd 2.85-3.03
Sr (0.3749, 0.4150, 0.0904)  2 Pd 2.85-3.03
Sr (0.0904, 0.9150, 0.3749)  2 Pd 2.85-3.03
Sr (0.4096, 0.1251, 0.5850)  2 Pd 2.85-3.03
Sr (0.0904, 0.1754, 0.2155)  2 Pd 2.85-3.03
Sr (0.4599, 0.6754, 0.0850)  2 Pd 2.85-3.03
Sr (0.8246, 0.9096, 0.2845)  2 Pd 2.85-3.03
Sr (0.1251, 0.4096, 0.0850)  2 Pd 2.85-3.03
Sr (0.3749, 0.9599, 0.7845)  2 Pd 2.85-3.03
Sr (0.5850, 0.6251, 0.4096)  2 Pd 2.85-3.03
Sr (0.9150, 0.8246, 0.5401)  2 Pd 2.85-3.03
Sr (0.7845, 0.3246, 0.9096)  2 Pd 2.85-3.03
Sr (0.4150, 0.3749, 0.5904)  2 Pd 2.85-3.03
Sr (0.0850, 0.1754, 0.4599)  2 Pd 2.85-3.03
Sr (0.2155, 0.6754, 0.0904)  2 Pd 2.85-3.03
Sr (0.1754, 0.0904, 0.7155)  2 Pd 2.85-3.03
Sr (0.6251, 0.0401, 0.2155)  2 Pd 2.85-3.03
Sr (0.8749, 0.5904, 0.9150)  2 Pd 2.85-3.03
Sr (0.5401, 0.3246, 0.9150)  2 Pd 2.85-3.03
Sr (0.5904, 0.8749, 0.4150)  2 Pd 2.85-3.03
Sr (0.9096, 0.8246, 0.7845)  2 Pd 2.85-3.03
Sr (0.9096, 0.0850, 0.6251)  2 Pd 2.85-3.03
Sr (0.8749, 0.2845, 0.4599)  2 Pd 2.85-3.03
Sr (0.1754, 0.0850, 0.9599)  2 Pd 2.85-3.03
Sr (0.6251, 0.5850, 0.9096)  2 Pd 2.85-3.03
Sr (0.4150, 0.0401, 0.3246)  2 Pd 2.85-3.03
Sr (0.2845, 0.4096, 0.8246)  2 Pd 2.85-3.03
Sr (0.2155, 0.5401, 0.6251)  2 Pd 2.85-3.03
Sr (0.9150, 0.0904, 0.8749)  2 Pd 2.85-3.03
Sr (0.6754, 0.2155, 0.5904)  2 Pd 2.85-3.03
Sr (0.4599, 0.7845, 0.8749)  2 Pd 2.85-3.03
Sr (0.0401, 0.4150, 0.8246)  2 Pd 2.85-3.03
Sr (0.4096, 0.2845, 0.3246)  2 Pd 2.85-3.03
Sr (0.0401, 0.6251, 0.7155)  2 Pd 2.85-3.03
Sr (0.6754, 0.4599, 0.5850)  2 Pd 2.85-3.03
Sr (0.2845, 0.8749, 0.9599)  2 Pd 2.85-3.03



Record 3
The following is a DFT calculation (PBE) of La3CuI3 after structural relaxation.

Summary:
Symmetry   I4_132, No. 214
Uncorrected formation energy   -0.9564 eV per atom
V   36.17 Å³/atom

a b c (Å): 10.9571 10.9571 10.9571
angles (deg): 109.47 109.47 109.47
With the nearest neighbours (Å) after each atom.
Sites, in units of the cell vectors:
La (0.9684, 0.4842, 0.2342)  2 Cu 2.97, 2 I 3.31
La (0.5158, 0.0316, 0.2658)  2 Cu 2.97, 2 I 3.31
La (0.2500, 0.0158, 0.4842)  2 Cu 2.97, 2 I 3.31
La (0.9842, 0.7500, 0.0158)  2 Cu 2.97, 2 I 3.31
La (0.9842, 0.2342, 0.4684)  2 Cu 2.97, 2 I 3.31
La (0.7658, 0.0158, 0.0316)  2 Cu 2.97, 2 I 3.31
La (0.7342, 0.4684, 0.4842)  2 Cu 2.97, 2 I 3.31
La (0.7658, 0.7500, 0.2342)  2 Cu 2.97, 2 I 3.31
La (0.5316, 0.2658, 0.0158)  2 Cu 2.97, 2 I 3.31
La (0.2500, 0.2342, 0.2658)  2 Cu 2.97, 2 I 3.31
La (0.7342, 0.2658, 0.7500)  2 Cu 2.97, 2 I 3.31
La (0.5158, 0.4842, 0.7500)  2 Cu 2.97, 2 I 3.31
Cu (0.7500, 0.5000, 0.0000)  6 La 2.97
Cu (0.5000, 0.2500, 0.5000)  6 La 2.97
Cu (0.7500, 0.2500, 0.2500)  6 La 2.97
Cu (0.0000, 0.0000, 0.2500)  6 La 2.97
I (0.2398, 0.9898, 0.9797)  4 La 3.31-3.38
I (0.7500, 0.7602, 0.7398)  4 La 3.31-3.38
I (0.4797, 0.7398, 0.9898)  4 La 3.31-3.38
I (0.0102, 0.2500, 0.9898)  4 La 3.31-3.38
I (0.2602, 0.7398, 0.2500)  4 La 3.31-3.38
I (0.4898, 0.5102, 0.2500)  4 La 3.31-3.38
I (0.2398, 0.2500, 0.7602)  4 La 3.31-3.38
I (0.2602, 0.5203, 0.5102)  4 La 3.31-3.38
I (0.7500, 0.9898, 0.5102)  4 La 3.31-3.38
I (0.0203, 0.5102, 0.7602)  4 La 3.31-3.38
I (0.0102, 0.7602, 0.5203)  4 La 3.31-3.38
I (0.4898, 0.9797, 0.7398)  4 La 3.31-3.38



Record 4
The following is a DFT calculation (PBE) of LaTiGe2H after structural relaxation.

Summary:
Symmetry   P4/mmm, No. 123
V   17.87 Å³/atom

a b c (Å): 4.7534 3.9542 4.7534
angles (deg): 90.00 90.00 90.00
With the nearest neighbours (Å) after each atom.
Sites, in units of the cell vectors:
H (0.0000, 0.0000, 0.0000)  2 Ti 1.98
Ge (0.0000, 0.0000, 0.5000)  2 H 2.38
Ge (0.5000, 0.0000, 0.0000)  2 H 2.38
Ti (0.0000, 0.5000, 0.0000)  2 H 1.98
La (0.5000, 0.5000, 0.5000)  8 Ge 3.09, 4 Ti 3.36



Record 5
The following is a DFT calculation (PBE) of SmLuIr2 after structural relaxation.

Summary:
Symmetry   P4/mmm, No. 123
Formation energy   -786 meV/atom
V   20.10 Å³/atom
Relative energy among the computed polymorphs   0.000 eV/atom

a b c (Å): 3.3369 3.3369 7.2208
angles (deg): 90.00 90.00 90.00
With the nearest neighbours (Å) after each atom.
Sites, in units of the cell vectors:
Ir (0.0000, 0.0000, 0.7650)  4 Lu 2.91, 4 Sm 3.04
Ir (0.0000, 0.0000, 0.2350)  4 Lu 2.91, 4 Sm 3.04
Lu (0.5000, 0.5000, 0.0000)  8 Ir 2.91
Sm (0.5000, 0.5000, 0.5000)  8 Ir 3.04, 4 Sm 3.34



Record 6
The following is a DFT calculation (PBE) of Ac5Ag2IrO after structural relaxation.

Summary:
Symmetry   Cmc2_1, No. 36
Uncorrected formation energy   -0.9052 eV per atom
V   32.80 Å³/atom

a b c (Å): 4.3124 9.8879 14.1868
angles (deg): 90.00 90.00 102.60
With the nearest neighbours (Å) after each atom.
Sites, in units of the cell vectors:
Ac (0.3559, 0.7118, 0.0141)  1 Ir 2.91
Ac (0.6930, 0.3859, 0.8825)  1 O 2.65
Ac (0.5004, 0.0008, 0.7723)  1 O 2.41
Ac (0.2938, 0.5877, 0.6701)  2 Ir 2.97
Ac (0.9515, 0.9031, 0.5048)  2 O 2.46
Ac (0.6441, 0.2882, 0.5141)  1 Ir 2.91
Ac (0.3070, 0.6141, 0.3825)  1 O 2.65
Ac (0.4996, 0.9992, 0.2723)  1 O 2.41
Ac (0.7062, 0.4123, 0.1701)  2 Ir 2.97
Ac (0.0485, 0.0969, 0.0048)  2 O 2.46
Ag (0.8763, 0.7525, 0.8337)  7 Ac 3.34-3.60
Ag (0.1187, 0.2375, 0.6976)  7 Ac 3.31-3.69
Ag (0.1237, 0.2475, 0.3337)  7 Ac 3.34-3.60
Ag (0.8813, 0.7625, 0.1976)  7 Ac 3.31-3.69
Ir (0.7948, 0.5897, 0.5264)  6 Ac 2.91-3.04
Ir (0.2052, 0.4103, 0.0264)  6 Ac 2.91-3.04
O (0.5587, 0.1174, 0.9224)  4 Ac 2.41-2.65
O (0.4413, 0.8826, 0.4224)  4 Ac 2.41-2.65



Record 7
The following is a DFT calculation (PBE) of Zr3TlH after structural relaxation.

Summary:
Symmetry   P4mm, No. 99
V   25.99 Å³/atom

a b c (Å): 4.1328 4.1328 7.6094
angles (deg): 90.00 90.00 90.00
With the nearest neighbours (Å) after each atom.
Sites, in units of the cell vectors:
H (0.5000, 0.5000, 0.6122)  4 Zr 2.11
Tl (0.0000, 0.0000, 0.3512)  5 Zr 2.97-3.18
Zr (0.0000, 0.0000, 0.9610)  1 Tl 2.97, 4 Zr 3.03
Zr (0.5000, 0.0000, 0.6696)  2 H 2.11
Zr (0.0000, 0.5000, 0.6696)  2 H 2.11



Record 8
The following is a DFT calculation (PBE) of InGaIN2 after structural relaxation.

Summary:
Symmetry   P4/mmm, No. 123
Uncorrected formation energy   1.2203 eV per atom
V   21.14 Å³/atom
Relative energy among the computed polymorphs   0.000 eV/atom

a b c (Å): 4.2207 4.2207 5.9335
angles (deg): 90.00 90.00 90.00
With the nearest neighbours (Å) after each atom.
Sites, in units of the cell vectors:
I (0.0000, 0.0000, 0.5000)  2 Ga 2.97, 4 In 2.98
N (0.0000, 0.5000, 0.0000)  2 Ga 2.11
N (0.5000, 0.0000, 0.0000)  2 Ga 2.11
Ga (0.0000, 0.0000, 0.0000)  4 N 2.11
In (0.5000, 0.5000, 0.5000)  4 I 2.98



Record 9
The following is a DFT calculation (PBE) of P2PdW after structural relaxation.

Summary:
Symmetry   I-42d, No. 122
Formation energy   49 meV/atom
V   19.83 Å³/atom
Relative energy among the computed polymorphs   0.171 eV/atom

a b c (Å): 5.4666 5.4666 6.5677
angles (deg): 65.41 65.41 90.00
With the nearest neighbours (Å) after each atom.
Sites, in units of the cell vectors:
P (0.6308, 0.1250, 0.2500)  2 W 2.33, 2 Pd 2.36
P (0.1192, 0.6250, 0.2500)  2 W 2.33, 2 Pd 2.36
P (0.3750, 0.3692, 0.7500)  2 W 2.33, 2 Pd 2.36
P (0.8750, 0.8808, 0.7500)  2 W 2.33, 2 Pd 2.36
Pd (0.5000, 0.5000, 0.0000)  4 P 2.36
Pd (0.2500, 0.7500, 0.5000)  4 P 2.36
W (0.0000, 0.0000, 0.0000)  4 P 2.33
W (0.7500, 0.2500, 0.5000)  4 P 2.33



Record 10
The following is a DFT calculation (PBE) of Fe2TcPt after structural relaxation.

Summary:
Symmetry   P4/mmm, No. 123
Formation energy   54 meV/atom
V   12.70 Å³/atom
Relative energy among the computed polymorphs   0.105 eV/atom

a b c (Å): 3.7700 3.7700 3.5748
angles (deg): 90.00 90.00 90.00
With the nearest neighbours (Å) after each atom.
Sites, in units of the cell vectors:
Fe (0.0000, 0.0000, 0.0000)  4 Tc 2.60, 4 Pt 2.60, 4 Fe 2.67
Fe (0.5000, 0.5000, 0.0000)  4 Tc 2.60, 4 Pt 2.60, 4 Fe 2.67
Pt (0.5000, 0.0000, 0.5000)  8 Fe 2.60, 4 Tc 2.67
Tc (0.0000, 0.5000, 0.5000)  8 Fe 2.60, 4 Pt 2.67



Record 11
The following is a DFT calculation (PBE) of HgP2S4 after structural relaxation.

Summary:
Symmetry   I4/m, No. 87
Uncorrected formation energy   0.1262 eV per atom
V   27.82 Å³/atom

a b c (Å): 6.5413 6.5413 6.5413
angles (deg): 100.36 100.36 129.81
With the nearest neighbours (Å) after each atom.
Sites, in units of the cell vectors:
Hg (0.5000, 0.5000, 0.0000)  12 S 3.84-3.98
P (0.2500, 0.7500, 0.5000)  4 S 2.18
P (0.7500, 0.2500, 0.5000)  4 S 2.18
S (0.3096, 0.0641, 0.3737)  2 P 2.18
S (0.9359, 0.3096, 0.2455)  2 P 2.18
S (0.0641, 0.6904, 0.7545)  2 P 2.18
S (0.6904, 0.9359, 0.6263)  2 P 2.18



Record 12
The following is a DFT calculation (PBE) of LiMgScSi after structural relaxation.

Summary:
Symmetry   F-43m, No. 216
Uncorrected formation energy   -0.2315 eV per atom
V   17.38 Å³/atom

a b c (Å): 4.6152 4.6152 4.6152
angles (deg): 60.00 60.00 60.00
With the nearest neighbours (Å) after each atom.
Sites, in units of the cell vectors:
Sc (0.5000, 0.5000, 0.5000)  4 Si 2.83, 4 Li 2.83
Si (0.2500, 0.2500, 0.2500)  4 Mg 2.83, 4 Sc 2.83
Mg (0.0000, 0.0000, 0.0000)  4 Li 2.83, 4 Si 2.83
Li (0.7500, 0.7500, 0.7500)  4 Mg 2.83, 4 Sc 2.83



Number 1: DFT total energy -4.845 eV per atom. Number 2: DFT total energy -3.153 eV per atom. Number 3: DFT total energy -4.318 eV per atom. Number 4: DFT total energy -5.235 eV per atom. Number 5: DFT total energy -7.526 eV per atom. Number 6: DFT total energy -5.357 eV per atom. Number 7: DFT total energy -5.813 eV per atom. Number 8: DFT total energy -3.573 eV per atom. Number 9: DFT total energy -7.192 eV per atom. Number 10: DFT total energy -8.279 eV per atom. Number 11: DFT total energy -3.821 eV per atom. Number 12: DFT total energy -4.047 eV per atom.